SiAsBr4 | GGA-PBE | optimized geometry

As for the size of the total moment: 0.061 μB/f.u. The calculation puts the density of states at the Fermi level at 1.310 states/eV per atom. For the energy, the calculation gives -1.676 eV/atom.

Lattice parameters (Å, degrees): 6.1100 6.1100 6.1100 60.00 60.00 60.00
Closest atoms and distances in Å follow each position.
Element x y z (fractional)
Si: 0.0000 0.0000 0.0000  12 Br 3.58, 4 As 3.74
As: 0.7500 0.7500 0.7500  12 Br 3.58, 4 Si 3.74
Br: 0.3754 0.3754 0.3754  6 Br 3.05-3.06
Br: 0.3754 0.3754 0.8738  6 Br 3.05-3.06
Br: 0.3754 0.8738 0.3754  6 Br 3.05-3.06
Br: 0.8738 0.3754 0.3754  6 Br 3.05-3.06

***

LaMn2Se | GGA-PBE | optimized geometry

As for the size of the total moment: 7.232 μB/f.u. The calculation puts the density of states at the Fermi level at 0.868 states/eV per atom. For the energy, the calculation gives -6.628 eV/atom.

Lattice parameters (Å, degrees): 3.6383 3.6383 6.2639 90.00 90.00 90.00
Closest atoms and distances in Å follow each position.
Element x y z (fractional)
La: 0.0000 0.0000 0.0000  2 Se 3.13, 8 Mn 3.16
Mn: 0.5000 0.5000 0.2927  1 Mn 2.60, 4 Se 2.88
Mn: 0.5000 0.5000 0.7073  1 Mn 2.60, 4 Se 2.88
Se: 0.0000 0.0000 0.5000  8 Mn 2.88, 2 La 3.13

***

Ho5Er2Tm4 | GGA-PBE | optimized geometry

The energy above the most stable polymorph in this dataset is 0.0000 eV/atom. The formation energy comes out at 0.56 kcal/mol of atoms. As for the size of the total moment: 0.000 μB/f.u. The calculation puts the density of states at the Fermi level at 1.361 states/eV per atom. For the energy, the calculation gives -4.512 eV/atom.

Lattice parameters (Å, degrees): 9.2582 9.2582 7.8273 104.67 104.67 30.93
Closest atoms and distances in Å follow each position.
Element x y z (fractional)
Ho: 0.0000 0.0000 0.0000  4 Ho 3.49, 6 Tm 3.50, 2 Er 3.50
Ho: 0.2727 0.2727 0.3632  4 Tm 3.49-3.50, 5 Ho 3.50-3.51, 3 Er 3.50
Ho: 0.3638 0.3638 0.8186  5 Ho 3.49-3.51, 5 Tm 3.49-3.50, 2 Er 3.50
Ho: 0.6362 0.6362 0.1814  5 Ho 3.49-3.51, 5 Tm 3.49-3.50, 2 Er 3.50
Ho: 0.7273 0.7273 0.6368  4 Tm 3.49-3.50, 5 Ho 3.50-3.51, 3 Er 3.50
Er: 0.0908 0.0908 0.4549  5 Tm 3.49-3.50, 1 Er 3.49, 6 Ho 3.50
Er: 0.9092 0.9092 0.5451  5 Tm 3.49-3.50, 1 Er 3.49, 6 Ho 3.50
Tm: 0.1817 0.1817 0.9089  7 Ho 3.49-3.50, 4 Tm 3.50, 1 Er 3.50
Tm: 0.4546 0.4546 0.2730  4 Er 3.49, 3 Tm 3.50, 5 Ho 3.50
Tm: 0.5454 0.5454 0.7270  4 Er 3.49, 3 Tm 3.50, 5 Ho 3.50
Tm: 0.8183 0.8183 0.0911  7 Ho 3.49-3.50, 4 Tm 3.50, 1 Er 3.50